# 1
The following is a DFT calculation (GGA-PBE) of crystalline Ba6Sb2N at its relaxed geometry.

Cell lengths 7.648, 9.254, 13.010 Å; angles 90.00, 123.82, 90.00 degrees
Space group P2_1/c (No. 14)
Unique sites:
Ba 0.137 0.029 0.243 [4 per cell]
Ba 0.196 0.714 0.052 [4 per cell]
Ba 0.357 0.150 0.050 [4 per cell]
Sb 0.300 0.110 0.742 [4 per cell]
N 0.000 0.000 0.000 [2 per cell]

Values from the calculation:
The value obtained for the formation energy (no corrections) is -0.698 eV per atom.

***

# 2
The following is a DFT calculation (GGA-PBE) of crystalline In5Ir4 at its relaxed geometry.

Cell lengths 8.1488, 8.1488, 5.7618 Å; angles 90.00, 90.00, 120.00 degrees
Space group P6_3/mcm (No. 193)
Unique sites:
In 0.0000 0.2823 0.2500 [6 per cell]
In 0.3333 0.6667 0.0000 [4 per cell]
Ir 0.0000 0.0000 0.0000 [2 per cell]
Ir 0.0000 0.3887 0.7500 [6 per cell]

Values from the calculation:
The energy above the lowest structure with this stoichiometry comes out at 0.000 eV per atom. The calculated formation energy comes out at 0.089 eV/atom.

***

# 3
The following is a DFT calculation (GGA-PBE) of crystalline Cs2HIr at its relaxed geometry.

Cell lengths 8.284, 8.284, 8.284 Å; angles 90.00, 90.00, 90.00 degrees
Space group Fm-3m (No. 225)
Unique sites:
Cs 0.250 0.250 0.250 [8 per cell]
H 0.000 0.000 0.000 [4 per cell]
Ir 0.000 0.000 0.500 [4 per cell]

Values from the calculation:
The energy above the lowest structure with this stoichiometry comes out at 0.000 eV per atom.

***

# 4
The following is a DFT calculation (GGA-PBE) of crystalline Ba2SrLa at its relaxed geometry.

Cell lengths 8.170, 13.266, 4.031 Å; angles 90.00, 109.11, 90.00 degrees
Space group C2/m (No. 12)
Unique sites:
Ba 0.250 0.250 0.000 [4 per cell]
Sr 0.000 0.000 0.500 [2 per cell]
La 0.000 0.500 0.500 [2 per cell]

Values from the calculation:
The energy above the lowest structure with this stoichiometry comes out at 0.029 eV per atom. The calculated formation energy comes out at 0.144 eV/atom.

***

# 5
The following is a DFT calculation (GGA-PBE) of crystalline VSiS2N at its relaxed geometry.

Cell lengths 4.731, 4.731, 3.605 Å; angles 90.00, 90.00, 90.00 degrees
Space group P4/mmm (No. 123)
Unique sites:
V 0.000 0.000 0.000 [1 per cell]
Si 0.500 0.500 0.500 [1 per cell]
S 0.000 0.500 0.000 [2 per cell]
N 0.000 0.000 0.500 [1 per cell]

Values from the calculation:
The energy above the lowest structure with this stoichiometry comes out at 0.000 eV per atom. The value obtained for the formation energy (no corrections) is 0.175 eV per atom.

***

# 6
The following is a DFT calculation (GGA-PBE) of crystalline Sm8Er6Sc at its relaxed geometry.

Cell lengths 9.8558, 9.8558, 5.7985 Å; angles 90.00, 90.00, 120.00 degrees
Space group P-3 (No. 147)
Unique sites:
Sm 0.0516 0.7785 0.2358 [6 per cell]
Sm 0.3333 0.6667 0.2351 [2 per cell]
Er 0.0923 0.6198 0.7455 [6 per cell]
Sc 0.0000 0.0000 0.5000 [1 per cell]

Values from the calculation:
The energy above the lowest structure with this stoichiometry comes out at 0.028 eV per atom. The calculated formation energy comes out at 0.154 eV/atom.